Record 1
! ZrTaIr2, optimized geometry, DFT PBEsol; values from VASP
! - Energy relative to the elements: -0.5783 eV/atom
! - E_tot: -10.9003 eV per atom
! - M_tot: 0.00 μB per cell
! - Symmetry: P4/mmm
&SYSTEM
  ibrav = 0, nat = 4, ntyp = 3
/
ATOMIC_SPECIES
Ir 192.22 Ir.upf
Zr 91.22 Zr.upf
Ta 180.95 Ta.upf
ATOMIC_POSITIONS angstrom
Ir 1.533 1.572 0.949
Ir 0.303 -1.436 1.890
Zr -1.096 0.660 0.677
Ta 0.739 0.796 3.516
CELL_PARAMETERS angstrom
-2.193 1.320 1.355
0.606 -2.872 3.779
3.066 3.145 1.899

***

Record 2
! ZrTaIr2, optimized geometry, DFT PBEsol; values from VASP
! - Energy relative to the elements: -0.5370 eV/atom
! - E_tot: -10.8589 eV per atom
! - M_tot: 0.00 μB per cell
! - Symmetry: Cm
&SYSTEM
  ibrav = 0, nat = 4, ntyp = 3
/
ATOMIC_SPECIES
Ir 192.22 Ir.upf
Zr 91.22 Zr.upf
Ta 180.95 Ta.upf
ATOMIC_POSITIONS angstrom
Ir -0.589 -2.148 -4.066
Zr 0.256 -3.695 -2.044
Ir -0.846 -2.739 0.343
Ta 1.130 -4.649 0.578
CELL_PARAMETERS angstrom
-2.724 -0.575 0.698
-0.655 -2.104 -4.287
2.837 -3.554 2.240

***

Record 3
! ZrTaIr2, optimized geometry, DFT PBEsol; values from VASP
! - Energy relative to the elements: -0.6683 eV/atom
! - E_tot: -10.9903 eV per atom
! - M_tot: 0.00 μB per cell
! - Symmetry: P4/mmm
&SYSTEM
  ibrav = 0, nat = 4, ntyp = 3
/
ATOMIC_SPECIES
Ta 180.95 Ta.upf
Zr 91.22 Zr.upf
Ir 192.22 Ir.upf
ATOMIC_POSITIONS angstrom
Ta 1.476 1.476 0.000
Zr 1.476 1.476 3.772
Ir 0.000 0.000 5.791
Ir 0.000 0.000 1.753
CELL_PARAMETERS angstrom
2.951 0.000 0.000
0.000 2.951 0.000
0.000 0.000 7.543

***

Record 4
! Tb3Ir, optimized geometry, DFT PBEsol; values from VASP
! - Energy relative to the elements: -0.5385 eV/atom
! - E_tot: -6.7518 eV per atom
! - M_tot: 0.00 μB per cell
! - Symmetry: Pnma
&SYSTEM
  ibrav = 0, nat = 16, ntyp = 2
/
ATOMIC_SPECIES
Ir 192.22 Ir.upf
Tb 158.93 Tb.upf
ATOMIC_POSITIONS angstrom
Ir 0.214 2.223 6.325
Tb -4.906 2.983 4.028
Tb -1.296 4.212 4.949
Ir -4.852 7.688 1.147
Tb -0.935 0.698 1.307
Tb -3.703 9.213 6.164
Tb 0.268 6.928 3.443
Ir -2.344 2.633 2.856
Tb -4.192 5.773 6.118
Tb -3.585 2.842 0.415
Tb -2.852 9.140 2.568
Tb -3.342 5.699 2.522
Tb -1.053 7.069 7.057
Tb -1.786 0.771 4.903
Ir -2.294 7.278 4.616
Tb -0.445 4.138 1.353
CELL_PARAMETERS angstrom
-6.189 0.878 0.230
0.246 -0.130 7.120
1.305 9.162 0.122

***

Record 5
! TbIr2, optimized geometry, DFT PBEsol; values from VASP
! - Energy relative to the elements: -0.7936 eV/atom
! - E_tot: -9.0125 eV per atom
! - M_tot: 0.00 μB per cell
! - Symmetry: Fd-3m
&SYSTEM
  ibrav = 0, nat = 6, ntyp = 2
/
ATOMIC_SPECIES
Ir 192.22 Ir.upf
Tb 158.93 Tb.upf
ATOMIC_POSITIONS angstrom
Ir 5.300 3.060 0.541
Tb 2.650 1.530 1.082
Ir 3.975 3.825 2.705
Tb 0.000 0.000 0.000
Ir 5.300 1.530 2.705
Ir 6.625 3.825 2.705
CELL_PARAMETERS angstrom
5.300 0.000 0.000
2.650 4.590 0.000
2.650 1.530 4.328

***

Record 6
! Tb3Ir2, optimized geometry, DFT PBEsol; values from VASP
! - Energy relative to the elements: -0.7436 eV/atom
! - E_tot: -7.6789 eV per atom
! - M_tot: 0.00 μB per cell
! - Symmetry: I4/mcm
&SYSTEM
  ibrav = 0, nat = 70, ntyp = 2
/
ATOMIC_SPECIES
Ir 192.22 Ir.upf
Tb 158.93 Tb.upf
ATOMIC_POSITIONS angstrom
Ir 5.553 5.553 0.000
Tb 4.748 7.839 1.791
Tb 4.748 3.267 10.652
Ir 10.048 6.611 0.000
Tb 8.766 -0.885 4.832
Tb -2.340 0.885 7.611
Tb 5.553 0.000 6.221
Tb 8.820 0.805 1.791
Tb -3.213 6.438 7.611
Tb 0.805 2.286 1.791
Ir -1.708 3.845 7.792
Ir 5.553 5.553 3.318
Ir -1.708 7.262 4.651
Ir 6.611 1.058 0.000
Ir 4.495 10.048 0.000
Tb 0.805 -2.286 10.652
Ir 3.845 -1.708 4.651
Tb 9.409 3.856 0.000
Ir 7.262 -1.708 7.792
Tb 0.885 8.766 4.832
Ir -2.010 -3.543 9.793
Ir 3.845 1.708 7.792
Tb 3.267 4.748 1.791
Ir 7.563 9.096 2.650
Tb 2.286 0.805 10.652
Tb -4.748 -3.267 10.652
Tb 3.213 6.438 4.832
Tb 0.000 5.553 9.633
Ir 5.553 5.553 9.125
Tb -0.885 -2.340 7.611
Ir 0.000 0.000 3.318
Tb 6.438 3.213 7.611
Tb 6.438 7.893 4.832
Ir 1.058 4.495 0.000
Ir 7.262 1.708 4.651
Ir 9.096 3.543 2.650
Ir 2.010 7.563 2.650
Tb 1.697 7.250 0.000
Ir 0.000 0.000 9.125
Ir 1.708 7.262 7.792
Tb -0.805 2.286 10.652
Tb 7.893 4.668 4.832
Tb 3.267 -4.748 10.652
Tb -0.885 2.340 4.832
Tb 4.668 -3.213 7.611
Ir 3.543 2.010 2.650
Tb 0.000 5.553 6.221
Tb 6.358 3.267 1.791
Ir 0.000 0.000 6.221
Tb -2.286 -0.805 10.652
Tb 7.250 9.409 0.000
Tb 7.839 6.358 1.791
Tb 2.340 0.885 4.832
Ir 1.708 3.845 4.651
Ir -3.543 2.010 9.793
Tb -3.267 4.748 10.652
Tb 2.286 10.301 1.791
Tb 3.213 4.668 7.611
Tb 2.340 -0.885 7.611
Tb 3.856 1.697 0.000
Ir 0.000 0.000 0.000
Tb 0.885 2.340 7.611
Tb 5.553 0.000 9.633
Ir 2.010 3.543 9.793
Ir 3.543 -2.010 9.793
Ir 5.553 5.553 6.221
Tb 4.668 3.213 4.832
Tb 0.000 5.553 2.809
Tb 5.553 0.000 2.809
Tb 10.301 8.820 1.791
CELL_PARAMETERS angstrom
11.106 0.000 0.000
0.000 11.106 0.000
-5.553 -5.553 12.443